[1]
## Ni3MoS (meta-GGA SCAN)

Data for a crystal of Ni3MoS relaxed with PBEsol.

Properties
Formation energy without anion corrections (eV per formula unit): 2.2
SG: Pm-3m, No. 221

Lattice parameters (Å, degrees): 4.065 4.065 4.065 90.00 90.00 90.00
Each line ends with the local moment (μB).
Atoms (fractional coordinates):
Ni  0.500  0.000  0.000  0.07
Ni  0.000  0.000  0.500  0.07
Ni  0.000  0.500  0.000  0.07
S  0.000  0.000  0.000  0.06
Mo  0.500  0.500  0.500  3.01

[2]
## K2SiH4N2O2 (meta-GGA SCAN)

Data for a crystal of K2SiH4N2O2 relaxed with PBEsol.

Properties
SG: P2_1/c, No. 14
Total DFT energy (no corrections) (eV/cell): -342.39

Lattice parameters (Å, degrees): 6.599 7.517 9.804 90.00 90.00 90.65
Atoms (fractional coordinates):
H  0.935  0.449  0.876
H  0.256  0.964  0.809
H  0.917  0.058  0.071
H  0.083  0.942  0.929
H  0.065  0.551  0.124
H  0.256  0.464  0.691
H  0.083  0.442  0.571
H  0.065  0.051  0.376
H  0.938  0.286  0.757
H  0.744  0.536  0.309
H  0.935  0.949  0.624
H  0.744  0.036  0.191
H  0.062  0.214  0.257
H  0.938  0.786  0.743
H  0.062  0.714  0.243
H  0.917  0.558  0.429
N  0.035  0.185  0.359
N  0.788  0.986  0.097
N  0.965  0.315  0.859
N  0.212  0.014  0.903
N  0.035  0.685  0.141
N  0.965  0.815  0.641
N  0.212  0.514  0.597
N  0.788  0.486  0.403
O  0.211  0.302  0.082
O  0.789  0.698  0.918
O  0.607  0.676  0.168
O  0.789  0.198  0.582
O  0.607  0.176  0.332
O  0.393  0.324  0.832
O  0.211  0.802  0.418
O  0.393  0.824  0.668
K  0.660  0.525  0.691
K  0.660  0.025  0.809
K  0.651  0.339  0.063
K  0.340  0.975  0.191
K  0.651  0.839  0.437
K  0.349  0.661  0.937
K  0.340  0.475  0.309
K  0.349  0.161  0.563
Si  0.797  0.253  0.422
Si  0.203  0.747  0.578
Si  0.203  0.247  0.922
Si  0.797  0.753  0.078

[3]
## TiSb2Ir (meta-GGA SCAN)

Data for a crystal of TiSb2Ir relaxed with PBEsol.

Properties
Formation energy without anion corrections (eV per formula unit): 0.0
SG: Fm-3m, No. 225

Lattice parameters (Å, degrees): 4.683 4.683 4.683 60.00 60.00 60.00
Atoms (fractional coordinates):
Ir  0.500  0.500  0.500
Sb  0.750  0.750  0.750
Sb  0.250  0.250  0.250
Ti  0.000  0.000  0.000

[4]
## Zr2AgAu (meta-GGA SCAN)

Data for a crystal of Zr2AgAu relaxed with PBEsol.

Properties
Formation enthalpy at 0 K (eV per atom): -0.399
SG: Pmm2, No. 25

Lattice parameters (Å, degrees): 2.979 4.868 5.198 90.00 90.04 90.00
Each line ends with the local moment (μB).
Atoms (fractional coordinates):
Ag  0.375  0.000  0.448  0.01
Au  0.375  0.500  0.802  0.02
Zr  0.874  0.500  0.320  0.22
Zr  0.876  0.000  0.930  0.23

[5]
## SrLaNiO4 (meta-GGA SCAN)

Data for a crystal of SrLaNiO4 relaxed with PBEsol.

Properties
Formation energy without anion corrections (eV per formula unit): -19.1
SG: I4mm, No. 107
E above lowest polymorph (kcal/mol of atoms): 0.00

Lattice parameters (Å, degrees): 3.811 3.811 6.639 106.68 106.68 90.00
Each line ends with the local moment (μB).
Atoms (fractional coordinates):
O  0.840  0.840  0.681  -0.02
O  0.494  0.994  0.989  -0.01
O  0.166  0.166  0.333  0.00
O  0.994  0.494  0.989  -0.01
Sr  0.640  0.640  0.279  0.00
La  0.361  0.361  0.722  0.01
Ni  0.004  0.004  0.008  1.03

[6]
## MgBe2Hg (meta-GGA SCAN)

Data for a crystal of MgBe2Hg relaxed with PBEsol.

Properties
Formation enthalpy at 0 K (eV per atom): 0.232
SG: P4/mmm, No. 123
E above lowest polymorph (kcal/mol of atoms): 2.59

Lattice parameters (Å, degrees): 3.690 3.920 3.920 90.00 90.00 90.00
Atoms (fractional coordinates):
Hg  0.500  0.500  0.500
Be  0.000  0.000  0.500
Be  0.000  0.500  0.000
Mg  0.500  0.000  0.000